The following is a GGA-PBE calculation of a relaxed Sr2CoPd crystal, from Alexandria via LeMat-Bulk.

Summary:
SG: I-42d, No. 122
Energy of formation from the pure elements in eV per atom: 0.35

abc: 8.0048 8.0048 6.5728
angles: 52.49 52.49 90.00
Element x y z (fractional)
Pd: 0.7500 0.2500 0.5000
Pd: 0.0000 0.0000 0.0000
Sr: 0.8750 0.8724 0.7500
Sr: 0.6224 0.1250 0.2500
Sr: 0.3750 0.3776 0.7500
Sr: 0.1276 0.6250 0.2500
Co: 0.2500 0.7500 0.5000
Co: 0.5000 0.5000 0.0000